Crystalline ScCl at its relaxed geometry, computed with PBE-GGA.

Formation energy (no corrections) = -0.93 eV/atom
Symmetry = Imma (74)

abc: 6.1237 6.1237 6.1237
angles: 149.77 134.17 55.89
Fractional positions:
Sc: 0.3692 0.1192 0.2500
Sc: 0.6308 0.8808 0.7500
Cl: 0.1553 0.4053 0.7500
Cl: 0.8447 0.5947 0.2500

=====

Crystalline MgRe2Ru at its relaxed geometry, computed with PBE-GGA.

Symmetry = Cm (8)
E_form = 0.96 eV/f.u.

abc: 4.8194 4.8194 4.8607
angles: 99.56 99.56 33.19
Fractional positions:
Mg: 0.0000 0.0000 0.0000
Re: 0.2342 0.2342 0.7040
Re: 0.4836 0.4836 0.4949
Ru: 0.7570 0.7570 0.2193

=====

Values for E_tot, eV for the cell shown, ordered as above
-20.077; -34.808